(1)
Pr2Ho2CI3Cl2 after structural relaxation, computed with PBE.

Geometry as POSCAR:
```
Pr2Ho2CI3Cl2
1.0
8.985 -1.975 0.000
8.985 1.975 0.000
-1.907 0.000 8.366
Pr Ho C I Cl
2 2 1 3 2
Direct
0.144 0.144 0.065 Pr
0.856 0.856 0.935 Pr
0.498 0.498 0.188 Ho
0.502 0.502 0.812 Ho
0.000 0.000 0.000 C
0.000 0.000 0.500 I
0.332 0.332 0.644 I
0.668 0.668 0.356 I
0.339 0.339 0.171 Cl
0.661 0.661 0.829 Cl
```

Values from the calculation:
- Final energy: -4.94 eV per atom
- Energy above the lowest structure with this stoichiometry: 0.0253 eV per atom

***

(2)
Pr2Ho2CI3Cl2 after structural relaxation, computed with PBE.

Geometry as POSCAR:
```
Pr2Ho2CI3Cl2
1.0
8.894 -1.987 0.000
8.894 1.987 0.000
-2.034 0.000 8.797
Pr Ho C I Cl
2 2 1 3 2
Direct
0.003 0.003 0.306 Pr
0.997 0.997 0.694 Pr
0.362 0.362 0.437 Ho
0.638 0.638 0.563 Ho
0.500 0.500 0.500 C
0.181 0.181 0.822 I
0.500 0.500 0.000 I
0.819 0.819 0.178 I
0.173 0.173 0.379 Cl
0.827 0.827 0.621 Cl
```

Values from the calculation:
- Final energy: -4.96 eV per atom
- Energy above the lowest structure with this stoichiometry: 0.0047 eV per atom

***

(3)
Pr2Ho2CI4Cl after structural relaxation, computed with PBE.

Geometry as POSCAR:
```
Pr2Ho2CI4Cl
1.0
9.851 -1.996 0.000
9.851 1.996 0.000
-1.664 0.000 8.178
Pr Ho C I Cl
2 2 1 4 1
Direct
0.001 0.001 0.288 Pr
0.999 0.999 0.712 Pr
0.376 0.376 0.437 Ho
0.624 0.624 0.563 Ho
0.500 0.500 0.500 C
0.164 0.164 0.841 I
0.170 0.170 0.326 I
0.830 0.830 0.674 I
0.836 0.836 0.159 I
0.500 0.500 0.000 Cl
```

Values from the calculation:
- Final energy: -4.80 eV per atom
- Energy above the lowest structure with this stoichiometry: 0.0000 eV per atom

***

(4)
Pr2Ho2CI4Cl after structural relaxation, computed with PBE.

Geometry as POSCAR:
```
Pr2Ho2CI4Cl
1.0
9.507 -1.970 0.000
9.507 1.970 0.000
-1.848 0.000 8.264
Pr Ho C I Cl
2 2 1 4 1
Direct
0.137 0.137 0.069 Pr
0.863 0.863 0.931 Pr
0.499 0.499 0.196 Ho
0.501 0.501 0.804 Ho
0.000 0.000 0.000 C
0.334 0.334 0.202 I
0.340 0.340 0.637 I
0.660 0.660 0.363 I
0.666 0.666 0.798 I
0.000 0.000 0.500 Cl
```

Values from the calculation:
- Final energy: -4.76 eV per atom
- Energy above the lowest structure with this stoichiometry: 0.0461 eV per atom

***

(5)
Ho2Sc2CI4Cl after structural relaxation, computed with PBE.

Geometry as POSCAR:
```
Ho2Sc2CI4Cl
1.0
10.185 -1.899 0.000
10.185 1.899 0.000
-1.521 0.000 7.809
Ho Sc C I Cl
2 2 1 4 1
Direct
0.000 0.000 0.206 Ho
0.000 0.000 0.794 Ho
0.388 0.388 0.945 Sc
0.612 0.612 0.055 Sc
0.500 0.500 0.000 C
0.154 0.154 0.332 I
0.154 0.154 0.819 I
0.846 0.846 0.181 I
0.846 0.846 0.668 I
0.500 0.500 0.500 Cl
```

Values from the calculation:
- Final energy: -5.09 eV per atom
- Energy above the lowest structure with this stoichiometry: 0.0000 eV per atom

***

(6)
Ho2Sc2CI4Cl after structural relaxation, computed with PBE.

Geometry as POSCAR:
```
Ho2Sc2CI4Cl
1.0
10.017 -1.914 0.000
10.017 1.914 0.000
-1.596 0.000 7.898
Ho Sc C I Cl
2 2 1 4 1
Direct
0.118 0.118 0.058 Ho
0.882 0.882 0.942 Ho
0.500 0.500 0.189 Sc
0.500 0.500 0.811 Sc
0.000 0.000 0.000 C
0.348 0.348 0.198 I
0.349 0.349 0.653 I
0.651 0.651 0.347 I
0.652 0.652 0.802 I
0.000 0.000 0.500 Cl
```

Values from the calculation:
- Final energy: -5.01 eV per atom
- Energy above the lowest structure with this stoichiometry: 0.0873 eV per atom

***

(7)
Sm2Ho2CI2Cl3 after structural relaxation, computed with PBE.

Geometry as POSCAR:
```
Sm2Ho2CI2Cl3
1.0
8.968 -1.919 0.000
8.968 1.919 0.000
-1.570 0.000 7.874
Sm Ho C I Cl
2 2 1 2 3
Direct
0.140 0.140 0.067 Sm
0.860 0.860 0.933 Sm
0.496 0.496 0.203 Ho
0.504 0.504 0.797 Ho
0.000 0.000 0.000 C
0.336 0.336 0.630 I
0.664 0.664 0.370 I
0.000 0.000 0.500 Cl
0.335 0.335 0.172 Cl
0.665 0.665 0.828 Cl
```

Values from the calculation:
- Final energy: -5.06 eV per atom
- Energy above the lowest structure with this stoichiometry: 0.0361 eV per atom

***

(8)
Sm2Ho2CI4Cl after structural relaxation, computed with PBE.

Geometry as POSCAR:
```
Sm2Ho2CI4Cl
1.0
9.493 -1.958 0.000
9.493 1.958 0.000
-1.823 0.000 8.145
Sm Ho C I Cl
2 2 1 4 1
Direct
0.134 0.134 0.071 Sm
0.866 0.866 0.929 Sm
0.499 0.499 0.198 Ho
0.501 0.501 0.802 Ho
0.000 0.000 0.000 C
0.333 0.333 0.191 I
0.339 0.339 0.638 I
0.661 0.661 0.362 I
0.667 0.667 0.809 I
0.000 0.000 0.500 Cl
```

Values from the calculation:
- Final energy: -4.76 eV per atom
- Energy above the lowest structure with this stoichiometry: 0.0279 eV per atom

***

(9)
Sm2Ho2CI3Cl2 after structural relaxation, computed with PBE.

Geometry as POSCAR:
```
Sm2Ho2CI3Cl2
1.0
8.824 -1.974 0.000
8.824 1.974 0.000
-1.922 0.000 8.563
Sm Ho C I Cl
2 2 1 3 2
Direct
0.004 0.004 0.309 Sm
0.996 0.996 0.691 Sm
0.362 0.362 0.436 Ho
0.638 0.638 0.564 Ho
0.500 0.500 0.500 C
0.176 0.176 0.831 I
0.500 0.500 0.000 I
0.824 0.824 0.169 I
0.172 0.172 0.370 Cl
0.828 0.828 0.630 Cl
```

Values from the calculation:
- Final energy: -4.95 eV per atom
- Energy above the lowest structure with this stoichiometry: 0.0102 eV per atom

***

(10)
Sm2Ho2CI3Cl2 after structural relaxation, computed with PBE.

Geometry as POSCAR:
```
Sm2Ho2CI3Cl2
1.0
8.866 -1.959 0.000
8.866 1.959 0.000
-1.919 0.000 8.336
Sm Ho C I Cl
2 2 1 3 2
Direct
0.143 0.143 0.068 Sm
0.857 0.857 0.932 Sm
0.497 0.497 0.188 Ho
0.503 0.503 0.812 Ho
0.000 0.000 0.000 C
0.000 0.000 0.500 I
0.331 0.331 0.648 I
0.669 0.669 0.352 I
0.335 0.335 0.156 Cl
0.665 0.665 0.844 Cl
```

Values from the calculation:
- Final energy: -4.93 eV per atom
- Energy above the lowest structure with this stoichiometry: 0.0228 eV per atom

***

(11)
Sm2Ho2CICl4 after structural relaxation, computed with PBE.

Geometry as POSCAR:
```
Sm2Ho2CICl4
1.0
8.637 -1.912 0.000
8.637 1.912 0.000
-2.249 0.000 8.114
Sm Ho C I Cl
2 2 1 1 4
Direct
0.148 0.148 0.084 Sm
0.852 0.852 0.916 Sm
0.500 0.500 0.192 Ho
0.500 0.500 0.808 Ho
0.000 0.000 0.000 C
0.000 0.000 0.500 I
0.333 0.333 0.151 Cl
0.337 0.337 0.670 Cl
0.663 0.663 0.330 Cl
0.667 0.667 0.849 Cl
```

Values from the calculation:
- Final energy: -5.25 eV per atom
- Energy above the lowest structure with this stoichiometry: 0.0065 eV per atom

***

(12)
Sm2Ho2CI3Cl2 after structural relaxation, computed with PBE.

Geometry as POSCAR:
```
Sm2Ho2CI3Cl2
1.0
9.208 -1.948 0.000
9.208 1.948 0.000
-1.553 0.000 8.303
Sm Ho C I Cl
2 2 1 3 2
Direct
0.136 0.136 0.069 Sm
0.864 0.864 0.931 Sm
0.498 0.498 0.190 Ho
0.502 0.502 0.810 Ho
0.000 0.000 0.000 C
0.000 0.000 0.500 I
0.328 0.328 0.199 I
0.672 0.672 0.801 I
0.355 0.355 0.690 Cl
0.645 0.645 0.310 Cl
```

Values from the calculation:
- Final energy: -4.95 eV per atom
- Energy above the lowest structure with this stoichiometry: 0.0013 eV per atom

***

Look up the final energy of the seventh one.
-5.06 eV per atom